No. 1
V3GaMo2 | PBE | relaxed

Lattice parameters (Å, degrees): 3.1354 3.1354 8.8211 90.00 90.00 90.00
Space group P4/mmm (No. 123)
Unique sites:
V 0.0000 0.0000 0.0000
V 0.0000 0.0000 0.3325
Ga 0.5000 0.5000 0.5000
Mo 0.5000 0.5000 0.1747

Summary:
Fermi-level density of states = 4.20 states/eV/f.u.
VASP energy = -8.846 eV per atom
DFT formation energy = -100 kJ/mol of formula units

No. 2
VGaMo2 | PBE | relaxed

Lattice parameters (Å, degrees): 2.9380 2.9380 24.8846 90.00 90.00 120.00
Space group R-3m (No. 166, hexagonal axes)
Unique sites:
V 0.0000 0.0000 0.0000
Ga 0.0000 0.0000 0.5000
Mo 0.0000 0.0000 0.2543

Summary:
Fermi-level density of states = 3.93 states/eV/f.u.
VASP energy = -8.294 eV per atom
DFT formation energy = 61 kJ/mol of formula units

Q: Which value of Fermi-level density of states does entry 2 give?
A: 3.93 states/eV/f.u.